1.
# PBE-GGA LaCoPb2, relaxed
# **Relative energy among the computed polymorphs**: 221 meV/atom
data_LaCoPb2
_chemical_formula_sum 'La1 Co1 Pb2'
_cell_length_a 3.5165
_cell_length_b 3.5165
_cell_length_c 8.3250
_cell_angle_alpha 90.00
_cell_angle_beta 90.00
_cell_angle_gamma 90.00
_space_group_name_H-M_alt 'P 4 m m'
_space_group_IT_number 99
loop_
_space_group_symop_operation_xyz
'x,y,z'
'-y,x,z'
'-x,-y,z'
'y,-x,z'
'-x,y,z'
'y,x,z'
'x,-y,z'
'-y,-x,z'
loop_
_atom_site_label
_atom_site_fract_x
_atom_site_fract_y
_atom_site_fract_z
La1 0.0000 0.0000 0.0000
Co1 0.5000 0.5000 0.7946
Pb1 0.0000 0.0000 0.6045
Pb2 0.5000 0.5000 0.3176

2.
# PBE-GGA Nd4NiSn, relaxed
# **Relative energy among the computed polymorphs**: 6 meV/atom
data_Nd4NiSn
_chemical_formula_sum 'Nd16 Ni4 Sn4'
_cell_length_a 16.8801
_cell_length_b 7.1720
_cell_length_c 6.1829
_cell_angle_alpha 90.00
_cell_angle_beta 111.24
_cell_angle_gamma 90.00
_space_group_name_H-M_alt 'C 1 2/m 1'
_space_group_IT_number 12
loop_
_space_group_symop_operation_xyz
'x,y,z'
'-x,-y,-z'
'-x,y,-z'
'x,-y,z'
'x+1/2,y+1/2,z'
'-x+1/2,-y+1/2,-z'
'-x+1/2,y+1/2,-z'
'x+1/2,-y+1/2,z'
loop_
_atom_site_label
_atom_site_fract_x
_atom_site_fract_y
_atom_site_fract_z
Nd1 0.0000 0.2317 0.0000
Nd2 0.1213 0.2494 0.6181
Nd3 0.1900 0.5000 0.1845
Ni1 0.9995 0.5000 0.3014
Sn1 0.1930 0.0000 0.1945

3.
# PBE-GGA Tb4PPbSe2, relaxed
# **Formation energy (no corrections)**: -1.42 eV/atom
data_Tb4PPbSe2
_chemical_formula_sum 'Tb4 P1 Pb1 Se2'
_cell_length_a 7.2379
_cell_length_b 4.1647
_cell_length_c 7.2900
_cell_angle_alpha 90.00
_cell_angle_beta 109.35
_cell_angle_gamma 90.00
_space_group_name_H-M_alt 'P 1 2/m 1'
_space_group_IT_number 10
loop_
_space_group_symop_operation_xyz
'x,y,z'
'-x,-y,-z'
'-x,y,-z'
'x,-y,z'
loop_
_atom_site_label
_atom_site_fract_x
_atom_site_fract_y
_atom_site_fract_z
Tb1 0.2383 0.0000 0.2332
Tb2 0.2503 0.5000 0.7646
P1 0.0000 0.5000 0.0000
Pb1 0.0000 0.0000 0.5000
Se1 0.5000 0.0000 0.0000
Se2 0.5000 0.5000 0.5000

4.
# PBE-GGA CsK3Sn, relaxed
# **Relative energy among the computed polymorphs**: 0 meV/atom
data_CsK3Sn
_chemical_formula_sum 'Cs1 K3 Sn1'
_cell_length_a 6.9812
_cell_length_b 6.9812
_cell_length_c 6.9812
_cell_angle_alpha 90.00
_cell_angle_beta 90.00
_cell_angle_gamma 90.00
_space_group_name_H-M_alt 'P m -3 m'
_space_group_IT_number 221
_space_group_name_Hall '-P 4 2 3'
loop_
_atom_site_label
_atom_site_fract_x
_atom_site_fract_y
_atom_site_fract_z
Cs1 0.0000 0.0000 0.0000
K1 0.0000 0.5000 0.5000
Sn1 0.5000 0.5000 0.5000

5.
# PBE-GGA BeTe2Mo, relaxed
# **Formation energy (no corrections)**: 0.69 eV/atom
data_BeTe2Mo
_chemical_formula_sum 'Be2 Te4 Mo2'
_cell_length_a 6.2314
_cell_length_b 7.1680
_cell_length_c 3.4119
_cell_angle_alpha 90.00
_cell_angle_beta 90.00
_cell_angle_gamma 90.00
_space_group_name_H-M_alt 'C m m m'
_space_group_IT_number 65
_space_group_name_Hall '-C 2 2'
loop_
_atom_site_label
_atom_site_fract_x
_atom_site_fract_y
_atom_site_fract_z
Be1 0.0000 0.0000 0.0000
Te1 0.2500 0.2500 0.5000
Mo1 0.0000 0.5000 0.0000

6.
# PBE-GGA Ac8CoRh3Br4, relaxed
# **Formation energy (no corrections)**: -1.07 eV/atom
data_Ac8CoRh3Br4
_chemical_formula_sum 'Ac24 Co3 Rh9 Br12'
_cell_length_a 8.6150
_cell_length_b 8.6150
_cell_length_c 24.9091
_cell_angle_alpha 90.00
_cell_angle_beta 90.00
_cell_angle_gamma 120.00
_space_group_name_H-M_alt 'R -3 m'
_space_group_IT_number 166
_space_group_name_Hall '-R 3 2"'
loop_
_atom_site_label
_atom_site_fract_x
_atom_site_fract_y
_atom_site_fract_z
Ac1 0.0000 0.0000 0.2319
Ac2 0.0066 0.5033 0.2309
Co1 0.0000 0.0000 0.5000
Rh1 0.0000 0.5000 0.5000
Br1 0.0000 0.0000 0.0000
Br2 0.0000 0.5000 0.0000

7.
# PBE-GGA CaZr2NpN4, relaxed
# **Formation energy (no corrections)**: -1.42 eV/atom
data_CaZr2NpN4
_chemical_formula_sum 'Ca2 Zr4 Np2 N8'
_cell_length_a 4.7297
_cell_length_b 4.7297
_cell_length_c 9.4419
_cell_angle_alpha 90.00
_cell_angle_beta 90.00
_cell_angle_gamma 90.00
_space_group_name_H-M_alt 'I -4 m 2'
_space_group_IT_number 119
_space_group_name_Hall 'I -4 -2'
loop_
_atom_site_label
_atom_site_fract_x
_atom_site_fract_y
_atom_site_fract_z
Ca1 0.0000 0.0000 0.0000
Zr1 0.0000 0.0000 0.5000
Zr2 0.0000 0.5000 0.2500
Np1 0.0000 0.5000 0.7500
N1 0.0000 0.0000 0.2589
N2 0.0000 0.5000 0.5027

8.
# PBE-GGA La4PrEr, relaxed
# **Relative energy among the computed polymorphs**: 0 meV/atom
data_La4PrEr
_chemical_formula_sum 'La16 Pr4 Er4'
_cell_length_a 23.9302
_cell_length_b 6.2907
_cell_length_c 5.9348
_cell_angle_alpha 90.00
_cell_angle_beta 104.34
_cell_angle_gamma 90.00
_space_group_name_H-M_alt 'C 1 2/c 1'
_space_group_IT_number 15
loop_
_space_group_symop_operation_xyz
'x,y,z'
'-x,-y,-z'
'-x,y,-z+1/2'
'x,-y,z+1/2'
'x+1/2,y+1/2,z'
'-x+1/2,-y+1/2,-z'
'-x+1/2,y+1/2,-z+1/2'
'x+1/2,-y+1/2,z+1/2'
loop_
_atom_site_label
_atom_site_fract_x
_atom_site_fract_y
_atom_site_fract_z
La1 0.0797 0.1735 0.3289
La2 0.1595 0.3073 0.9087
Pr1 0.2500 0.2500 0.5000
Er1 0.0000 0.3307 0.7500

9.
CdHgAu6: relaxed, PBE-GGA.

```
data_CdHgAu6
_chemical_formula_sum 'Cd1 Hg1 Au6'
_cell_length_a 5.9397
_cell_length_b 5.9397
_cell_length_c 4.9069
_cell_angle_alpha 90.00
_cell_angle_beta 90.00
_cell_angle_gamma 120.00
_space_group_name_H-M_alt 'P -6 m 2'
_space_group_IT_number 187
_space_group_name_Hall 'P -6 2'
loop_
_atom_site_label
_atom_site_fract_x
_atom_site_fract_y
_atom_site_fract_z
Cd1 0.0000 0.0000 0.0000
Hg1 0.3333 0.6667 0.5000
Au1 0.3342 0.1671 0.5000
Au2 0.5020 0.0040 0.0000
```

10.
Nd2Er3Sc3: relaxed, PBE-GGA.

```
data_Nd2Er3Sc3
_chemical_formula_sum 'Nd4 Er6 Sc6'
_cell_length_a 16.6316
_cell_length_b 5.5015
_cell_length_c 5.5083
_cell_angle_alpha 90.00
_cell_angle_beta 109.33
_cell_angle_gamma 90.00
_space_group_name_H-M_alt 'C 1 2/m 1'
_space_group_IT_number 12
loop_
_space_group_symop_operation_xyz
'x,y,z'
'-x,-y,-z'
'-x,y,-z'
'x,-y,z'
'x+1/2,y+1/2,z'
'-x+1/2,-y+1/2,-z'
'-x+1/2,y+1/2,-z'
'x+1/2,-y+1/2,z'
loop_
_atom_site_label
_atom_site_fract_x
_atom_site_fract_y
_atom_site_fract_z
Nd1 0.2492 0.0000 0.2485
Er1 0.0000 0.5000 0.5000
Er2 0.1144 0.5000 0.1150
Sc1 0.0000 0.0000 0.0000
Sc2 0.1124 0.0000 0.6122
```

11.
# PBE-GGA Rb4Tl3AgCl8, relaxed
# **Formation energy (no corrections)**: -1.38 eV/atom
data_Rb4Tl3AgCl8
_chemical_formula_sum 'Rb8 Tl6 Ag2 Cl16'
_cell_length_a 15.9078
_cell_length_b 9.1644
_cell_length_c 9.0891
_cell_angle_alpha 90.00
_cell_angle_beta 123.79
_cell_angle_gamma 90.00
_space_group_name_H-M_alt 'C 1 2/m 1'
_space_group_IT_number 12
loop_
_space_group_symop_operation_xyz
'x,y,z'
'-x,-y,-z'
'-x,y,-z'
'x,-y,z'
'x+1/2,y+1/2,z'
'-x+1/2,-y+1/2,-z'
'-x+1/2,y+1/2,-z'
'x+1/2,-y+1/2,z'
loop_
_atom_site_label
_atom_site_fract_x
_atom_site_fract_y
_atom_site_fract_z
Rb1 0.0000 0.0000 0.0000
Rb2 0.0000 0.5000 0.0000
Rb3 0.2500 0.2500 0.5000
Tl1 0.0000 0.0000 0.5000
Tl2 0.2500 0.2500 0.0000
Ag1 0.0000 0.5000 0.5000
Cl1 0.0014 0.2780 0.7195
Cl2 0.2420 0.0000 0.2391
Cl3 0.2489 0.0000 0.7516

12.
ZnNi3: relaxed, PBE-GGA.

```
data_ZnNi3
_chemical_formula_sum 'Zn1 Ni3'
_cell_length_a 2.5519
_cell_length_b 2.5519
_cell_length_c 8.1591
_cell_angle_alpha 90.00
_cell_angle_beta 90.00
_cell_angle_gamma 120.00
_space_group_name_H-M_alt 'P -6 m 2'
_space_group_IT_number 187
_space_group_name_Hall 'P -6 2'
loop_
_atom_site_label
_atom_site_fract_x
_atom_site_fract_y
_atom_site_fract_z
Zn1 0.0000 0.0000 0.0000
Ni1 0.0000 0.0000 0.5000
Ni2 0.6667 0.3333 0.2543
```

13.
# PBE-GGA MgSnBr6, relaxed
# **Relative energy among the computed polymorphs**: 25 meV/atom
# **Formation energy (no corrections)**: -0.84 eV/atom
data_MgSnBr6
_chemical_formula_sum 'Mg3 Sn3 Br18'
_cell_length_a 6.7782
_cell_length_b 6.7782
_cell_length_c 18.1436
_cell_angle_alpha 90.00
_cell_angle_beta 90.00
_cell_angle_gamma 120.00
_space_group_name_H-M_alt 'R -3'
_space_group_IT_number 148
_space_group_name_Hall '-R 3'
loop_
_atom_site_label
_atom_site_fract_x
_atom_site_fract_y
_atom_site_fract_z
Mg1 0.0000 0.0000 0.0000
Sn1 0.0000 0.0000 0.5000
Br1 0.0041 0.3273 0.5836

14.
# PBE-GGA CuAs2Se, relaxed
# **Formation energy (no corrections)**: 0.24 eV/atom
data_CuAs2Se
_chemical_formula_sum 'Cu2 As4 Se2'
_cell_length_a 3.4577
_cell_length_b 3.4619
_cell_length_c 14.1425
_cell_angle_alpha 90.00
_cell_angle_beta 90.00
_cell_angle_gamma 90.00
_space_group_name_H-M_alt 'I m m m'
_space_group_IT_number 71
_space_group_name_Hall '-I 2 2'
loop_
_atom_site_label
_atom_site_fract_x
_atom_site_fract_y
_atom_site_fract_z
Cu1 0.0000 0.0000 0.0000
As1 0.0000 0.5000 0.2877
Se1 0.0000 0.0000 0.5000

15.
# PBE-GGA HoTmZn2, relaxed
# **Relative energy among the computed polymorphs**: 0 meV/atom
data_HoTmZn2
_chemical_formula_sum 'Ho4 Tm4 Zn8'
_cell_length_a 7.0752
_cell_length_b 7.0752
_cell_length_c 7.0752
_cell_angle_alpha 90.00
_cell_angle_beta 90.00
_cell_angle_gamma 90.00
_space_group_name_H-M_alt 'F m -3 m'
_space_group_IT_number 225
_space_group_name_Hall '-F 4 2 3'
loop_
_atom_site_label
_atom_site_fract_x
_atom_site_fract_y
_atom_site_fract_z
Ho1 0.0000 0.0000 0.0000
Tm1 0.0000 0.0000 0.5000
Zn1 0.2500 0.2500 0.2500

16.
# PBE-GGA BaLa2Ni, relaxed
# **Relative energy among the computed polymorphs**: 82 meV/atom
data_BaLa2Ni
_chemical_formula_sum 'Ba2 La4 Ni2'
_cell_length_a 3.9270
_cell_length_b 4.2202
_cell_length_c 17.5558
_cell_angle_alpha 90.00
_cell_angle_beta 90.00
_cell_angle_gamma 90.00
_space_group_name_H-M_alt 'A m m 2'
_space_group_IT_number 38
loop_
_space_group_symop_operation_xyz
'x,y,z'
'-x,-y,z'
'-x,y,z'
'x,-y,z'
'x,y+1/2,z+1/2'
'-x,-y+1/2,z+1/2'
'-x,y+1/2,z+1/2'
'x,-y+1/2,z+1/2'
loop_
_atom_site_label
_atom_site_fract_x
_atom_site_fract_y
_atom_site_fract_z
Ba1 0.0000 0.0000 0.0000
La1 0.0000 0.0000 0.6849
La2 0.5000 0.0000 0.3279
Ni1 0.5000 0.0000 0.1712

17.
KBeAu2: relaxed, PBE-GGA.

```
data_KBeAu2
_chemical_formula_sum 'K2 Be2 Au4'
_cell_length_a 2.9789
_cell_length_b 5.3096
_cell_length_c 10.4750
_cell_angle_alpha 90.00
_cell_angle_beta 90.00
_cell_angle_gamma 90.00
_space_group_name_H-M_alt 'I m m 2'
_space_group_IT_number 44
loop_
_space_group_symop_operation_xyz
'x,y,z'
'-x,-y,z'
'-x,y,z'
'x,-y,z'
'x+1/2,y+1/2,z+1/2'
'-x+1/2,-y+1/2,z+1/2'
'-x+1/2,y+1/2,z+1/2'
'x+1/2,-y+1/2,z+1/2'
loop_
_atom_site_label
_atom_site_fract_x
_atom_site_fract_y
_atom_site_fract_z
K1 0.0000 0.0000 0.0000
Be1 0.0000 0.5000 0.2151
Au1 0.0000 0.0000 0.5507
Au2 0.0000 0.5000 0.7993
```

18.
# PBE-GGA AlSO, relaxed
# **Formation energy (no corrections)**: -1.74 eV/atom
data_AlSO
_chemical_formula_sum 'Al2 S2 O2'
_cell_length_a 3.3809
_cell_length_b 4.7395
_cell_length_c 6.0875
_cell_angle_alpha 100.88
_cell_angle_beta 104.94
_cell_angle_gamma 93.04
_space_group_name_H-M_alt 'P -1'
_space_group_IT_number 2
loop_
_space_group_symop_operation_xyz
'x,y,z'
'-x,-y,-z'
loop_
_atom_site_label
_atom_site_fract_x
_atom_site_fract_y
_atom_site_fract_z
Al1 0.1736 0.0625 0.3304
S1 0.1149 0.2993 0.0026
O1 0.2701 0.8387 0.5646

19.
PmSmTlCo: relaxed, PBE-GGA.

```
data_PmSmTlCo
_chemical_formula_sum 'Pm4 Sm4 Tl4 Co4'
_cell_length_a 7.4009
_cell_length_b 7.4009
_cell_length_c 7.4009
_cell_angle_alpha 90.00
_cell_angle_beta 90.00
_cell_angle_gamma 90.00
_space_group_name_H-M_alt 'F -4 3 m'
_space_group_IT_number 216
_space_group_name_Hall 'F -4 2 3'
loop_
_atom_site_label
_atom_site_fract_x
_atom_site_fract_y
_atom_site_fract_z
Pm1 0.0000 0.0000 0.0000
Sm1 0.0000 0.0000 0.5000
Tl1 0.2500 0.2500 0.7500
Co1 0.2500 0.2500 0.2500
```

20.
Nb7Re2W3: relaxed, PBE-GGA.

```
data_Nb7Re2W3
_chemical_formula_sum 'Nb14 Re4 W6'
_cell_length_a 4.5474
_cell_length_b 22.0998
_cell_length_c 4.4875
_cell_angle_alpha 90.00
_cell_angle_beta 90.00
_cell_angle_gamma 90.00
_space_group_name_H-M_alt 'C m m m'
_space_group_IT_number 65
_space_group_name_Hall '-C 2 2'
loop_
_atom_site_label
_atom_site_fract_x
_atom_site_fract_y
_atom_site_fract_z
Nb1 0.0000 0.0000 0.0000
Nb2 0.0000 0.0771 0.5000
Nb3 0.0000 0.2853 0.0000
Nb4 0.0000 0.4252 0.0000
Re1 0.0000 0.1477 0.0000
W1 0.0000 0.3526 0.5000
W2 0.0000 0.5000 0.5000
```

21.
Nd2ScCd2: relaxed, PBE-GGA.

```
data_Nd2ScCd2
_chemical_formula_sum 'Nd8 Sc4 Cd8'
_cell_length_a 6.3880
_cell_length_b 14.7244
_cell_length_c 6.1617
_cell_angle_alpha 90.00
_cell_angle_beta 90.00
_cell_angle_gamma 90.00
_space_group_name_H-M_alt 'I b a m'
_space_group_IT_number 72
_space_group_name_Hall '-I 2 2c'
loop_
_atom_site_label
_atom_site_fract_x
_atom_site_fract_y
_atom_site_fract_z
Nd1 0.1122 0.1148 0.0000
Sc1 0.0000 0.5000 0.2500
Cd1 0.1276 0.3339 0.0000
```

22.
RbGaGe: relaxed, PBE-GGA.

```
data_RbGaGe
_chemical_formula_sum 'Rb2 Ga2 Ge2'
_cell_length_a 4.3182
_cell_length_b 5.8137
_cell_length_c 7.5033
_cell_angle_alpha 90.00
_cell_angle_beta 90.00
_cell_angle_gamma 90.00
_space_group_name_H-M_alt 'P m m m'
_space_group_IT_number 47
loop_
_space_group_symop_operation_xyz
'x,y,z'
'-x,-y,-z'
'-x,-y,z'
'x,y,-z'
'x,-y,-z'
'-x,y,z'
'-x,y,-z'
'x,-y,z'
loop_
_atom_site_label
_atom_site_fract_x
_atom_site_fract_y
_atom_site_fract_z
Rb1 0.0000 0.0000 0.0000
Rb2 0.5000 0.0000 0.5000
Ga1 0.0000 0.5000 0.3323
Ge1 0.5000 0.5000 0.1662
```

23.
# PBE-GGA Ca2IN2, relaxed
# **Relative energy among the computed polymorphs**: 0 meV/atom
# **Formation energy (no corrections)**: -0.93 eV/atom
data_Ca2IN2
_chemical_formula_sum 'Ca8 I4 N8'
_cell_length_a 14.9769
_cell_length_b 4.1515
_cell_length_c 6.7248
_cell_angle_alpha 90.00
_cell_angle_beta 101.02
_cell_angle_gamma 90.00
_space_group_name_H-M_alt 'C 1 2/c 1'
_space_group_IT_number 15
loop_
_space_group_symop_operation_xyz
'x,y,z'
'-x,-y,-z'
'-x,y,-z+1/2'
'x,-y,z+1/2'
'x+1/2,y+1/2,z'
'-x+1/2,-y+1/2,-z'
'-x+1/2,y+1/2,-z+1/2'
'x+1/2,-y+1/2,z+1/2'
loop_
_atom_site_label
_atom_site_fract_x
_atom_site_fract_y
_atom_site_fract_z
Ca1 0.1636 0.2080 0.1578
I1 0.0000 0.2554 0.7500
N1 0.2275 0.3745 0.5272

24.
# PBE-GGA Ce3Si2IrRh9, relaxed
# **Formation energy (no corrections)**: -0.45 eV/atom
data_Ce3Si2IrRh9
_chemical_formula_sum 'Ce3 Si2 Ir1 Rh9'
_cell_length_a 5.5444
_cell_length_b 5.5444
_cell_length_c 10.8517
_cell_angle_alpha 90.00
_cell_angle_beta 90.00
_cell_angle_gamma 120.00
_space_group_name_H-M_alt 'P -3 m 1'
_space_group_IT_number 164
_space_group_name_Hall '-P 3 2"'
loop_
_atom_site_label
_atom_site_fract_x
_atom_site_fract_y
_atom_site_fract_z
Ce1 0.0000 0.0000 0.0000
Ce2 0.3333 0.6667 0.5984
Si1 0.3333 0.6667 0.1585
Ir1 0.0000 0.0000 0.5000
Rh1 0.0000 0.5000 0.0000
Rh2 0.1663 0.3327 0.3155

Number 1: E -19.27 eV for the cell shown. Number 2: E -123.80 eV for the cell shown. Number 3: E -45.96 eV for the cell shown. Number 4: E -8.22 eV for the cell shown. Number 5: E -36.14 eV for the cell shown. Number 6: E -257.30 eV for the cell shown. Number 7: E -153.48 eV for the cell shown. Number 8: E -114.83 eV for the cell shown. Number 9: E -21.27 eV for the cell shown. Number 10: E -82.61 eV for the cell shown. Number 11: E -101.34 eV for the cell shown. Number 12: E -18.74 eV for the cell shown. Number 13: E -66.99 eV for the cell shown. Number 14: E -31.80 eV for the cell shown. Number 15: E -52.04 eV for the cell shown. Number 16: E -35.27 eV for the cell shown. Number 17: E -21.30 eV for the cell shown. Number 18: E -36.10 eV for the cell shown. Number 19: E -76.87 eV for the cell shown. Number 20: E -259.00 eV for the cell shown. Number 21: E -70.51 eV for the cell shown. Number 22: E -17.96 eV for the cell shown. Number 23: E -107.34 eV for the cell shown. Number 24: E -110.37 eV for the cell shown.